*A*
VASP calculation (GGA-PBE) on an optimized crystal structure of Ho2ErAl2.

Properties
The calculation puts the density of states at the Fermi level at 21.24 states/eV/cell.

a = 4.646 Å, b = 11.310 Å, c = 10.255 Å
α = 90.00°, β = 90.00°, γ = 90.00°
Space group Cmc2_1 (No. 36)
One atom of each set of equivalent atoms:
Ho1 0.000 0.115 0.000
Ho2 0.000 0.307 0.250
Er1 0.000 0.397 0.868
Al1 0.000 0.024 0.735
Al2 0.000 0.201 0.545

---

*B*
VASP calculation (GGA-PBE) on an optimized crystal structure of Ho2ErAl2.

Properties
The calculation puts the density of states at the Fermi level at 9.52 states/eV/cell.

a = 3.710 Å, b = 26.250 Å, c = 5.040 Å
α = 90.00°, β = 90.00°, γ = 90.00°
Space group Cmcm (No. 63)
One atom of each set of equivalent atoms:
Ho1 0.000 0.048 0.250
Ho2 0.000 0.234 0.250
Er1 0.000 0.145 0.750
Al1 0.000 0.358 0.750
Al2 0.000 0.451 0.250

---

It is *B* that is most stable; the runner-up trails by 0.165 eV/atom.